PBE LiTlCd2Co, relaxed; E_form = 0.5715 eV per atom; E_tot = -2.072 eV per atom; symmetry = No. 123
1.0
4.906 0.000 0.000
0.000 4.906 0.000
0.000 0.000 4.431
Li Tl Cd Co
1 1 2 1
Direct
0.000 0.000 0.000
0.500 0.500 0.500
0.000 0.500 0.000
0.500 0.000 0.000
0.000 0.000 0.500

---

PBE PmMgPb, relaxed; energy above the most stable polymorph in this dataset = 344.7 meV/atom; E_form = -0.1265 eV per atom; E_tot = -3.478 eV per atom; symmetry = No. 160
1.0
1.751 1.011 8.206
-1.751 1.011 8.206
0.000 -2.021 8.206
Pm Mg Pb
1 1 1
Direct
0.000 0.000 0.000
0.781 0.781 0.781
0.217 0.217 0.217

---

PBE Li2TbEr, relaxed; energy above the most stable polymorph in this dataset = 0.0 meV/atom; E_form = 0.1559 eV per atom; E_tot = -3.099 eV per atom; symmetry = No. 123
1.0
3.698 0.000 0.000
0.000 3.698 0.000
0.000 0.000 7.393
Li Tb Er
2 1 1
Direct
0.000 0.000 0.248
0.000 0.000 0.752
0.500 0.500 0.500
0.500 0.500 0.000

---

Q: Number 2 is which compound?
A: PmMgPb

---

Q: E_form of number 2 (PmMgPb)?
A: -0.1265 eV per atom

---

Q: What is the formula in the third record?
A: Li2TbEr

---

Repeat the third record exactly.
PBE Li2TbEr, relaxed; energy above the most stable polymorph in this dataset = 0.0 meV/atom; E_form = 0.1559 eV per atom; E_tot = -3.099 eV per atom; symmetry = No. 123
1.0
3.698 0.000 0.000
0.000 3.698 0.000
0.000 0.000 7.393
Li Tb Er
2 1 1
Direct
0.000 0.000 0.248
0.000 0.000 0.752
0.500 0.500 0.500
0.500 0.500 0.000